[1]
DFT (PBE) results for an optimized crystal structure of Hg2PtCl.

Output
polymorph energy (0 for the lowest one): 0.3679 eV/atom
total magnetization: 0.00 Bohr magnetons per cell
DOS(E_F): 3.056 states/eV per cell
uncorrected formation energy: 309.7 meV per atom

Geometry as POSCAR:
```
Hg2PtCl
1.0
0.0000 3.4728 3.4728
3.4728 0.0000 3.4728
3.4728 3.4728 0.0000
Hg Pt Cl
2 1 1
Cartesian
1.7364 1.7364 1.7364
5.2092 5.2092 5.2092
0.0000 0.0000 0.0000
3.4728 3.4728 3.4728
```

***

[2]
DFT (PBE) results for an optimized crystal structure of ErZnFe2H8.

Output
uncorrected energy: -3.962 eV per atom
total magnetization: 0.01 Bohr magnetons per cell
DOS(E_F): 4.665 states/eV per cell

Geometry as POSCAR:
```
ErZnFe2H8
1.0
4.4335 0.0000 0.0000
-2.2168 3.8396 0.0000
0.0000 0.0000 6.3124
Er Zn Fe H
1 1 2 8
Cartesian
0.0000 0.0000 0.0000
0.0000 0.0000 3.1562
0.0000 2.5597 2.1137
2.2168 1.2799 4.1987
0.0000 1.1156 1.7526
-1.2506 3.2817 1.7526
0.9662 0.5578 4.5598
0.0000 2.5597 0.5492
2.2168 1.2799 5.7632
1.2506 3.2817 1.7526
3.4674 0.5578 4.5598
2.2168 2.7239 4.5598
```